A PBEsol-optimized structure of K3SmAs2S8, computed with SCAN.

a b c (Å): 8.873 10.042 10.704
angles (deg): 107.37 102.80 114.28
Sites, in units of the cell vectors:
K 0.746 0.996 0.992
K 0.508 0.258 0.516
K 0.500 0.500 0.000
K 0.492 0.742 0.484
K 0.254 0.004 0.008
K 0.000 0.500 0.000
Sm 0.007 0.757 0.514
Sm 0.993 0.243 0.486
As 0.008 0.906 0.247
As 0.261 0.659 0.753
As 0.739 0.341 0.247
As 0.992 0.094 0.753
S 0.637 0.264 0.021
S 0.864 0.839 0.714
S 0.647 0.494 0.356
S 0.115 0.243 0.979
S 0.650 0.125 0.286
S 0.791 0.138 0.644
S 0.034 0.473 0.347
S 0.187 0.126 0.653
S 0.353 0.506 0.644
S 0.966 0.527 0.653
S 0.813 0.874 0.347
S 0.209 0.862 0.356
S 0.363 0.736 0.979
S 0.885 0.757 0.021
S 0.350 0.875 0.714
S 0.136 0.161 0.286

Theoretical density, g/cm3: 2.938
Energy relative to the elements, uncorrected, eV per atom: -1.077
SG: C2/c (15)